The following is a DFT calculation (GGA-PBE) of a relaxed structure of CaNpTl2O8.

Cell: 5.2623 6.8018 5.2720 Å, 90.00 92.17 90.00°
Last column: nearest neighbours and their distance in Å.
Positions (direct):
Ca1 0.0000 0.0000 0.0000  6 O 2.28-2.36
Np1 0.0000 0.5000 0.0000  4 O 1.94
Tl1 0.5000 0.2493 0.5000  4 O 2.18-2.22
Tl2 0.5000 0.7507 0.5000  4 O 2.18-2.22
O1 0.1730 0.2891 0.8292  1 Np 1.94
O2 0.1730 0.7109 0.8292  1 Np 1.94
O3 0.3046 0.5000 0.3068  2 Tl 2.22, 1 Np 2.23
O4 0.3110 0.0000 0.3139  2 Tl 2.18, 1 Ca 2.28
O5 0.6890 0.0000 0.6861  2 Tl 2.18, 1 Ca 2.28
O6 0.6954 0.5000 0.6932  2 Tl 2.22, 1 Np 2.23
O7 0.8270 0.2891 0.1708  1 Np 1.94
O8 0.8270 0.7109 0.1708  1 Np 1.94

Raw formation energy, eV/atom: -1.654
Calculated volume, Å³/atom: 15.714
Density, kg/m3: 7167